# 1
Entry from Alexandria: a geometry-optimized YCuIr2 structure (PBE).

Computed properties:
Space group = Pmm2
Magnetic moment = 0.00 μB per formula unit
Total energy = -28.792 eV per formula unit
Crystal system = orthorhombic

a b c (Å): 2.931 3.941 5.804
angles (deg): 90.00 90.00 90.00
Positions (direct):
1 Y 0.000 0.000 0.000
2 Cu 0.500 0.500 0.285
3 Ir 0.000 0.000 0.503
4 Ir 0.500 0.500 0.717

# 2
Entry from Alexandria: a geometry-optimized Sm3AsS structure (PBE).

Computed properties:
Formation energy from raw total energies = -5.44 eV/f.u.
Space group = P-6
Magnetic moment = 0.00 μB per formula unit
Crystal system = hexagonal

a b c (Å): 6.699 6.699 3.700
angles (deg): 90.00 90.00 120.00
Positions (direct):
1 Sm 0.007 0.671 0.000
2 Sm 0.329 0.336 0.000
3 Sm 0.664 0.993 0.000
4 As 0.667 0.333 0.500
5 S 0.333 0.667 0.500

# 3
Entry from Alexandria: a geometry-optimized PmDyPbAu structure (PBE).

Computed properties:
Space group = F-43m
Magnetic moment = 0.82 μB per formula unit
Total energy = -18.773 eV per formula unit
Crystal system = cubic

a b c (Å): 5.325 5.325 5.325
angles (deg): 60.00 60.00 60.00
Positions (direct):
1 Pm 0.000 0.000 0.000
2 Dy 0.500 0.500 0.500
3 Pb 0.750 0.750 0.750
4 Au 0.250 0.250 0.250

# 4
Entry from Alexandria: a geometry-optimized ZrRe2Ag structure (PBE).

Computed properties:
Space group = Cmm2
Magnetic moment = 0.00 μB per formula unit
Total energy = -35.186 eV per formula unit
Crystal system = orthorhombic

a b c (Å): 2.784 2.784 9.430
angles (deg): 90.00 90.00 110.09
Positions (direct):
1 Zr 0.000 0.000 0.000
2 Re 0.000 0.000 0.530
3 Re 0.500 0.500 0.749
4 Ag 0.500 0.500 0.272

# 5
Entry from Alexandria: a geometry-optimized Na3Nd2ZrTe6 structure (PBE).

Computed properties:
Formation energy from raw total energies = -13.95 eV/f.u.
Space group = C2/m
Magnetic moment = 0.05 μB per formula unit
Crystal system = monoclinic

a b c (Å): 7.619 7.619 8.057
angles (deg): 99.12 99.12 120.04
Positions (direct):
1 Na 0.000 0.000 0.000
2 Na 0.327 0.673 0.000
3 Na 0.673 0.327 0.000
4 Nd 0.166 0.834 0.500
5 Nd 0.834 0.166 0.500
6 Zr 0.500 0.500 0.500
7 Te 0.108 0.422 0.265
8 Te 0.266 0.266 0.736
9 Te 0.422 0.108 0.265
10 Te 0.578 0.892 0.735
11 Te 0.734 0.734 0.264
12 Te 0.892 0.578 0.735

# 6
Entry from Alexandria: a geometry-optimized Re2NiAs structure (PBE).

Computed properties:
Space group = P4/mmm
Magnetic moment = 0.00 μB per formula unit
Total energy = -34.302 eV per formula unit
Crystal system = tetragonal

a b c (Å): 4.314 4.314 2.940
angles (deg): 90.00 90.00 90.00
Positions (direct):
1 Re 0.000 0.500 0.000
2 Re 0.500 0.000 0.000
3 Ni 0.000 0.000 0.500
4 As 0.500 0.500 0.500

Which value of magnetic moment does entry 2 give? 0.00 μB per formula unit

Which of these has the highest magnetic moment? PmDyPbAu

Which value of magnetic moment does entry 5 give? 0.05 μB per formula unit